<A>
SmEr7Tm2 after structural relaxation, computed with PBE-GGA.

Calculated values
The calculation puts the total moment at 0.000 μB/atom. The value obtained for the density of states at the Fermi level is 14.91 states/eV/cell.

Cell: 5.5342 9.1008 9.1008 Å, 123.02 90.00 90.00°
Atoms (fractional coordinates):
Er  0.0000  0.7862  0.2138
Er  0.5000  0.9382  0.7083
Er  0.5000  0.0618  0.2917
Er  0.5000  0.5000  0.5000
Er  0.0000  0.2138  0.7862
Er  0.5000  0.2917  0.0618
Er  0.5000  0.7083  0.9382
Tm  0.5000  0.2969  0.7031
Tm  0.5000  0.7031  0.2969
Sm  0.0000  0.0000  0.0000

=====

<B>
SmEr7Tm2 after structural relaxation, computed with PBE-GGA.

Calculated values
The calculation puts the total moment at 0.000 μB/atom. The value obtained for the density of states at the Fermi level is 17.22 states/eV/cell.

Cell: 5.3689 8.7903 9.3516 Å, 117.98 106.67 52.30°
Atoms (fractional coordinates):
Er  0.2484  0.3623  0.2210
Er  0.7516  0.6377  0.7790
Er  0.7515  0.8592  0.2212
Er  0.9994  0.2011  0.4009
Er  0.2485  0.1408  0.7788
Er  0.0006  0.7989  0.5991
Er  0.5000  0.5000  0.0000
Sm  0.0000  0.0000  0.0000
Tm  0.4996  0.6999  0.3986
Tm  0.5004  0.3001  0.6014

=====

Which is the most stable structure? <B> is the most stable.

=====

<A>
SmEr2Tm2 after structural relaxation, computed with PBE-GGA.

Calculated values
The calculation puts the total moment at 0.000 μB/atom. The value obtained for the density of states at the Fermi level is 10.26 states/eV/cell.

Cell: 9.3077 9.3077 3.6494 Å, 90.00 90.00 90.00°
Atoms (fractional coordinates):
Tm  0.1242  0.6242  0.0000
Tm  0.6242  0.8758  0.0000
Tm  0.8758  0.3758  0.0000
Tm  0.3758  0.1242  0.0000
Sm  0.5000  0.5000  0.0000
Sm  0.0000  0.0000  0.0000
Er  0.3274  0.8274  0.5000
Er  0.6726  0.1726  0.5000
Er  0.8274  0.6726  0.5000
Er  0.1726  0.3274  0.5000

=====

<B>
SmEr2Tm2 after structural relaxation, computed with PBE-GGA.

Calculated values
The calculation puts the total moment at 0.000 μB/atom. The value obtained for the density of states at the Fermi level is 8.88 states/eV/cell.

Cell: 3.4798 5.6477 8.5759 Å, 109.24 90.00 90.00°
Atoms (fractional coordinates):
Sm  0.2000  0.0184  0.0369
Er  0.7000  0.5915  0.1831
Er  0.2000  0.3995  0.7989
Tm  0.2000  0.7802  0.5602
Tm  0.7000  0.2104  0.4209

=====

Which is the most stable structure? <A> is the most stable.

=====

<A>
Sm3Er6Tm after structural relaxation, computed with PBE-GGA.

Calculated values
The calculation puts the total moment at 0.000 μB/atom. The value obtained for the density of states at the Fermi level is 29.15 states/eV/cell.

Cell: 6.2061 10.9040 10.9040 Å, 119.71 90.00 90.00°
Atoms (fractional coordinates):
Er  0.1409  0.7200  0.2800
Er  0.5389  0.6171  0.7120
Er  0.3652  0.0423  0.4631
Er  0.8652  0.4631  0.0423
Er  0.6409  0.2800  0.7200
Er  0.5389  0.2880  0.3829
Er  0.0389  0.7120  0.6171
Er  0.8652  0.9577  0.5369
Er  0.3652  0.5369  0.9577
Er  0.4101  0.9539  0.0461
Er  0.0389  0.3829  0.2880
Er  0.9101  0.0461  0.9539
Tm  0.6406  0.7945  0.2055
Tm  0.1406  0.2055  0.7945
Sm  0.0668  0.3908  0.6092
Sm  0.4595  0.9395  0.7188
Sm  0.4595  0.2812  0.0605
Sm  0.5668  0.6092  0.3908
Sm  0.9595  0.0605  0.2812
Sm  0.9595  0.7188  0.9395

=====

<B>
Sm3Er6Tm after structural relaxation, computed with PBE-GGA.

Calculated values
The calculation puts the total moment at 0.000 μB/atom. The value obtained for the density of states at the Fermi level is 11.41 states/eV/cell.

Cell: 6.4839 9.5109 6.4961 Å, 110.31 119.94 89.90°
Atoms (fractional coordinates):
Er  0.4404  0.3139  0.3048
Er  0.5596  0.6861  0.6952
Er  0.3478  0.0514  0.7023
Er  0.6522  0.9486  0.2977
Er  0.0094  0.3140  0.4494
Er  0.9906  0.6860  0.5506
Sm  0.1408  0.6893  0.1305
Sm  0.8592  0.3107  0.8695
Sm  0.0000  0.0000  0.0000
Tm  0.5000  0.5000  0.0000

=====

Which is the most stable structure? <A> is the most stable.

=====

<A>
Sm2Er3Tm3 after structural relaxation, computed with PBE-GGA.

Calculated values
The calculation puts the total moment at 0.001 μB/atom. The value obtained for the density of states at the Fermi level is 20.15 states/eV/cell.

Cell: 6.3482 6.3482 6.3482 Å, 90.02 90.02 89.98°
Atoms (fractional coordinates):
Er  0.7492  0.0000  0.7492
Er  0.2508  0.7492  0.0000
Er  0.0000  0.2508  0.2508
Tm  0.5000  0.2509  0.2509
Tm  0.2509  0.7491  0.5000
Tm  0.7491  0.5000  0.7491
Sm  0.7497  0.7497  0.2503
Sm  0.2503  0.2503  0.7497

=====

<B>
Sm2Er3Tm3 after structural relaxation, computed with PBE-GGA.

Calculated values
The calculation puts the total moment at 0.000 μB/atom. The value obtained for the density of states at the Fermi level is 11.36 states/eV/cell.

Cell: 4.9959 4.9962 10.5718 Å, 103.67 103.67 90.00°
Atoms (fractional coordinates):
Er  0.3769  0.3769  0.7538
Er  0.6231  0.6231  0.2462
Er  0.5000  0.0000  0.0000
Sm  0.7500  0.2500  0.5001
Sm  0.2500  0.7500  0.4999
Tm  0.8768  0.8767  0.7536
Tm  0.0000  0.5000  0.0000
Tm  0.1232  0.1233  0.2464

=====

Which is the most stable structure? <B> is the most stable.

=====

<A>
SmEr7Tm3 after structural relaxation, computed with PBE-GGA.

Calculated values
The calculation puts the total moment at 0.005 μB/atom. The value obtained for the density of states at the Fermi level is 16.88 states/eV/cell.

Cell: 5.7111 8.3300 8.3300 Å, 83.31 110.10 110.10°
Atoms (fractional coordinates):
Tm  0.0000  0.7947  0.2053
Tm  0.0000  0.2053  0.7947
Tm  0.5000  0.0000  0.0000
Sm  0.5000  0.5000  0.5000
Er  0.7044  0.0079  0.4005
Er  0.2956  0.5995  0.9921
Er  0.2076  0.2068  0.2068
Er  0.2956  0.9921  0.5995
Er  0.7924  0.7932  0.7932
Er  0.0000  0.5000  0.5000
Er  0.7044  0.4005  0.0079

=====

<B>
SmEr7Tm3 after structural relaxation, computed with PBE-GGA.

Calculated values
The calculation puts the total moment at 0.000 μB/atom. The value obtained for the density of states at the Fermi level is 17.94 states/eV/cell.

Cell: 5.4688 9.7865 8.7748 Å, 104.98 128.53 90.01°
Atoms (fractional coordinates):
Tm  0.0000  0.5000  0.0000
Tm  0.2754  0.9947  0.7755
Tm  0.7246  0.0053  0.2245
Er  0.0719  0.1678  0.0720
Er  0.5000  0.0000  0.5000
Er  0.6764  0.3577  0.1765
Er  0.8498  0.7098  0.3499
Er  0.9281  0.8322  0.9280
Er  0.1502  0.2902  0.6501
Er  0.3236  0.6423  0.8235
Sm  0.5000  0.5000  0.5000

=====

Which is the most stable structure? <B> is the most stable.

=====

<A>
Sm2Er6Tm after structural relaxation, computed with PBE-GGA.

Calculated values
The calculation puts the total moment at 0.000 μB/atom. The value obtained for the density of states at the Fermi level is 22.35 states/eV/cell.

Cell: 6.5053 9.5087 9.5087 Å, 96.21 80.66 80.66°
Atoms (fractional coordinates):
Er  0.7709  0.5394  0.9403
Er  0.1864  0.0424  0.2223
Er  0.5043  0.6513  0.2758
Er  0.2291  0.4606  0.0597
Er  0.9957  0.7242  0.3487
Er  0.8136  0.9576  0.7777
Er  0.6864  0.2223  0.0424
Er  0.2709  0.9403  0.5394
Er  0.0043  0.2758  0.6513
Er  0.4957  0.3487  0.7242
Er  0.3136  0.7777  0.9576
Er  0.7291  0.0597  0.4606
Tm  0.7500  0.8824  0.1176
Tm  0.2500  0.1176  0.8824
Sm  0.6275  0.6676  0.6181
Sm  0.8725  0.3819  0.3324
Sm  0.3725  0.3324  0.3819
Sm  0.1275  0.6181  0.6676

=====

<B>
Sm2Er6Tm after structural relaxation, computed with PBE-GGA.

Calculated values
The calculation puts the total moment at 0.000 μB/atom. The value obtained for the density of states at the Fermi level is 22.62 states/eV/cell.

Cell: 5.0062 10.5758 10.5750 Å, 90.00 90.00 90.00°
Atoms (fractional coordinates):
Tm  0.5000  0.5000  0.0000
Tm  0.0000  0.0000  0.5000
Er  0.0000  0.3338  0.4994
Er  0.0000  0.9995  0.8338
Er  0.5000  0.1662  0.9994
Er  0.5000  0.8330  0.3332
Er  0.0000  0.6670  0.8332
Er  0.5000  0.1670  0.6668
Er  0.5000  0.8338  0.0006
Er  0.0000  0.0005  0.1662
Er  0.0000  0.3330  0.1668
Er  0.5000  0.5005  0.3338
Er  0.0000  0.6662  0.5006
Er  0.5000  0.4995  0.6662
Sm  0.5000  0.8340  0.6661
Sm  0.5000  0.1660  0.3339
Sm  0.0000  0.3340  0.8338
Sm  0.0000  0.6660  0.1662

=====

Which is the most stable structure? <B> is the most stable.

=====

<A>
Sm4ErTm6 after structural relaxation, computed with PBE-GGA.

Calculated values
The calculation puts the total moment at 0.000 μB/atom. The value obtained for the density of states at the Fermi level is 16.61 states/eV/cell.

Cell: 3.5275 10.9011 10.9011 Å, 120.00 90.00 90.00°
Atoms (fractional coordinates):
Tm  0.5000  0.1794  0.3588
Tm  0.0000  0.5074  0.4926
Tm  0.5000  0.1794  0.8206
Tm  0.0000  0.5074  0.0147
Tm  0.0000  0.9853  0.4926
Tm  0.5000  0.6412  0.8206
Sm  0.0000  0.3333  0.6667
Sm  0.5000  0.3339  0.1670
Sm  0.5000  0.8330  0.6661
Sm  0.5000  0.8330  0.1670
Er  0.0000  0.0000  0.0000

=====

<B>
Sm4ErTm6 after structural relaxation, computed with PBE-GGA.

Calculated values
The calculation puts the total moment at 0.000 μB/atom. The value obtained for the density of states at the Fermi level is 13.11 states/eV/cell.

Cell: 9.6322 9.6322 9.6322 Å, 57.69 140.11 140.11°
Atoms (fractional coordinates):
Sm  0.6230  0.9863  0.9863
Sm  0.3770  0.3633  0.3633
Sm  0.0000  0.0137  0.6367
Sm  0.0000  0.6367  0.0137
Tm  0.3570  0.5522  0.5522
Tm  0.0000  0.4478  0.8048
Tm  0.6430  0.1952  0.1952
Tm  0.5000  0.5000  0.0000
Tm  0.0000  0.8048  0.4478
Tm  0.5000  0.0000  0.5000
Er  0.0000  0.0000  0.0000

=====

Which is the most stable structure? <A> is the most stable.

=====

<A>
Sm4Er4Tm3 after structural relaxation, computed with PBE-GGA.

Calculated values
The calculation puts the total moment at 0.000 μB/atom. The value obtained for the density of states at the Fermi level is 18.75 states/eV/cell.

Cell: 3.5232 5.5496 18.1462 Å, 98.84 95.62 90.00°
Atoms (fractional coordinates):
Tm  0.0000  0.0000  0.0000
Tm  0.1306  0.6299  0.2589
Tm  0.8693  0.3701  0.7411
Er  0.5446  0.5439  0.0876
Er  0.8174  0.8172  0.6364
Er  0.4554  0.4561  0.9125
Er  0.1826  0.1828  0.3636
Sm  0.4039  0.9040  0.8085
Sm  0.7220  0.7222  0.4419
Sm  0.5960  0.0960  0.1915
Sm  0.2780  0.2779  0.5581

=====

<B>
Sm4Er4Tm3 after structural relaxation, computed with PBE-GGA.

Calculated values
The calculation puts the total moment at 0.000 μB/atom. The value obtained for the density of states at the Fermi level is 19.67 states/eV/cell.

Cell: 3.5007 5.6024 17.9522 Å, 81.03 84.39 89.99°
Atoms (fractional coordinates):
Sm  0.2679  0.2676  0.4647
Sm  0.7321  0.7324  0.5352
Sm  0.5902  0.0903  0.8198
Sm  0.4098  0.9097  0.1802
Tm  0.1360  0.6358  0.7287
Tm  0.0000  0.0000  0.0000
Tm  0.8640  0.3642  0.2713
Er  0.4542  0.4544  0.0909
Er  0.6806  0.1800  0.6400
Er  0.3194  0.8200  0.3600
Er  0.5458  0.5456  0.9091

=====

Which is the most stable structure? <A> is the most stable.

=====

<A>
SmErTm5 after structural relaxation, computed with PBE-GGA.

Calculated values
The calculation puts the total moment at 0.000 μB/atom. The value obtained for the density of states at the Fermi level is 20.90 states/eV/cell.

Cell: 3.5618 9.1524 13.6698 Å, 103.09 90.00 90.00°
Atoms (fractional coordinates):
Tm  0.7500  0.2057  0.8828
Tm  0.2500  0.0000  0.3731
Tm  0.7500  0.6505  0.2757
Tm  0.7500  0.0000  0.6269
Tm  0.2500  0.6770  0.4902
Tm  0.7500  0.3230  0.5098
Tm  0.2500  0.7943  0.1172
Tm  0.2500  0.3495  0.7243
Tm  0.7500  0.5840  0.9207
Tm  0.2500  0.4160  0.0793
Er  0.7500  0.6540  0.6933
Er  0.2500  0.3460  0.3067
Sm  0.7500  0.1050  0.1256
Sm  0.2500  0.8950  0.8744

=====

<B>
SmErTm5 after structural relaxation, computed with PBE-GGA.

Calculated values
The calculation puts the total moment at 0.000 μB/atom. The value obtained for the density of states at the Fermi level is 9.91 states/eV/cell.

Cell: 6.1003 7.9560 7.6791 Å, 121.20 113.40 90.00°
Atoms (fractional coordinates):
Tm  0.4336  0.1793  0.0000
Tm  0.1858  0.2573  0.5145
Tm  0.4336  0.8207  0.0000
Tm  0.6713  0.7427  0.4855
Tm  0.1723  0.5000  0.0000
Er  0.9364  0.0000  0.0000
Sm  0.6976  0.5000  0.0000

=====

Which is the most stable structure? <A> is the most stable.

=====

<A>
Sm4Er5Tm after structural relaxation, computed with PBE-GGA.

Calculated values
The calculation puts the total moment at 0.000 μB/atom. The value obtained for the density of states at the Fermi level is 13.19 states/eV/cell.

Cell: 3.5061 11.0844 8.7031 Å, 89.95 101.56 89.99°
Atoms (fractional coordinates):
Er  0.8268  0.0513  0.6532
Er  0.1733  0.5519  0.3472
Er  0.8267  0.4481  0.6528
Er  0.5000  0.5000  0.0000
Er  0.1732  0.9487  0.3468
Sm  0.6552  0.2500  0.3110
Sm  0.0299  0.7503  0.0605
Sm  0.9701  0.2497  0.9395
Sm  0.3448  0.7500  0.6890
Tm  0.5000  0.0000  0.0000

=====

<B>
Sm4Er5Tm after structural relaxation, computed with PBE-GGA.

Calculated values
The calculation puts the total moment at 0.000 μB/atom. The value obtained for the density of states at the Fermi level is 13.03 states/eV/cell.

Cell: 5.8743 8.0627 8.0627 Å, 82.37 68.64 68.64°
Atoms (fractional coordinates):
Sm  0.7723  0.6774  0.6775
Sm  0.1272  0.3226  0.3225
Sm  0.4497  0.6775  0.3226
Sm  0.4497  0.3225  0.6774
Er  0.7634  0.3775  0.0000
Er  0.7634  0.0000  0.3775
Er  0.6899  0.0000  0.0000
Er  0.1410  0.6225  0.0000
Er  0.1409  0.0000  0.6225
Tm  0.2127  0.0000  0.0000

=====

Which is the most stable structure? <A> is the most stable.